La6Au2IBr3 after structural relaxation. Source: the Alexandria database, functional PBE.

a b c (Å): 19.042 4.357 9.041
angles (deg): 90.00 97.70 90.00
Space group C2/m (No. 12)
Inequivalent atoms, fractional coordinates:
La 0.004 0.000 0.275 [4 per cell]
La 0.168 0.500 0.568 [4 per cell]
La 0.175 0.500 0.102 [4 per cell]
Au 0.167 0.000 0.328 [4 per cell]
I 0.000 0.500 0.000 [2 per cell]
Br 0.000 0.500 0.500 [2 per cell]
Br 0.162 0.000 0.834 [4 per cell]

Results
Formation energy without anion corrections = -1071 meV per atom